Entry 1:
Material: SbIr2Pt
Method: DFT, PBE
State: relaxed

```
SbIr2Pt
1.0
3.937 0.000 0.000
0.000 2.941 0.032
0.000 2.882 5.800
Ir Sb Pt
2 1 1
Direct
0.000 0.981 0.020
0.500 0.260 0.240
0.500 0.745 0.756
0.000 0.515 0.484
```

Computed properties:
Formation energy from raw total energies ... 0.21 eV/atom
Magnetization ... 0.000 μB/f.u.
Space-group type ... Pm (6)
N(E_F) ... 4.9 states/eV/f.u.

***

Entry 2:
Material: SbIr2Pt
Method: DFT, PBE
State: relaxed

```
SbIr2Pt
1.0
2.879 0.008 0.000
-1.485 2.466 0.000
0.000 0.000 9.669
Pt Ir Sb
1 2 1
Direct
0.000 0.000 0.487
0.000 0.000 0.013
0.500 0.500 0.245
0.500 0.500 0.756
```

Computed properties:
Formation energy from raw total energies ... 0.47 eV/atom
Magnetization ... 0.000 μB/f.u.
Space-group type ... Cmm2 (35)
N(E_F) ... 4.2 states/eV/f.u.